# 1
Density functional theory data (PBE) for crystalline SmMgPd5 at its relaxed geometry.

POSCAR file:
```
SmMgPd5
1.0
4.185 0.000 0.000
0.000 4.185 0.000
0.000 0.000 7.324
Sm Mg Pd
1 1 5
Direct
0.000 0.000 0.000 Sm
0.500 0.500 0.500 Mg
0.000 0.500 0.281 Pd
0.000 0.500 0.719 Pd
0.500 0.000 0.281 Pd
0.500 0.000 0.719 Pd
0.500 0.500 0.000 Pd
```

energy of formation from the pure elements: -0.5337 eV/atom
DOS at the Fermi energy: 0.43 states/eV per atom
density: 9.15 g/cm³
spin magnetization: 0.000 μB per formula unit

# 2
Density functional theory data (PBE) for crystalline Nd4Ho3In4 at its relaxed geometry.

POSCAR file:
```
Nd4Ho3In4
1.0
-1.810 4.729 9.741
1.810 -4.729 9.741
1.810 4.729 -9.741
Nd Ho In
4 3 4
Direct
0.014 0.838 0.175 Nd
0.337 0.162 0.175 Nd
0.663 0.838 0.825 Nd
0.986 0.162 0.825 Nd
0.000 0.500 0.500 Ho
0.407 0.407 0.000 Ho
0.593 0.593 0.000 Ho
0.276 0.776 0.500 In
0.281 0.000 0.281 In
0.719 0.000 0.719 In
0.724 0.224 0.500 In
```

energy of formation from the pure elements: -0.3115 eV/atom
DOS at the Fermi energy: 0.93 states/eV per atom
density: 7.62 g/cm³
spin magnetization: 0.000 μB per formula unit

# 3
Density functional theory data (PBE) for crystalline Y2SiPt at its relaxed geometry.

POSCAR file:
```
Y2SiPt
1.0
5.013 0.000 0.000
0.000 5.013 0.000
0.000 0.000 3.470
Y Si Pt
2 1 1
Direct
0.000 0.500 0.000 Y
0.500 0.000 0.000 Y
0.000 0.000 0.500 Si
0.500 0.500 0.500 Pt
```

formation energy without anion corrections: -0.848 eV/atom
DOS at the Fermi energy: 0.41 states/eV per atom
density: 7.64 g/cm³
spin magnetization: 0.000 μB per formula unit

# 4
Density functional theory data (PBE) for crystalline VFeCoRh at its relaxed geometry.

POSCAR file:
```
VFeCoRh
1.0
-1.851 1.851 3.634
1.851 -1.851 3.634
1.851 1.851 -3.634
V Fe Co Rh
1 1 1 1
Direct
0.000 0.000 0.000 V
0.500 0.500 0.000 Fe
0.250 0.750 0.500 Co
0.750 0.250 0.500 Rh
```

energy of formation from the pure elements: -0.1680 eV/atom
DOS at the Fermi energy: 1.11 states/eV per atom
density: 8.96 g/cm³
distance to the lowest polymorph of the same formula: 0.0 kJ/mol of atoms
spin magnetization: 2.846 μB per formula unit